A geometry-optimized Ca2LaMg structure, computed with PBE.

The calculation puts the total DFT energy (no corrections) at -2.654 eV/atom. Its formation energy is -23 meV per atom.

a = 5.577 Å, b = 5.577 Å, c = 10.129 Å
α = 106.02°, β = 106.02°, γ = 89.98°
Fractional positions:
1 Ca 0.854 0.854 0.207
2 Ca 0.146 0.146 0.793
3 Ca 0.500 0.000 0.500
4 Ca 0.000 0.500 0.500
5 La 0.352 0.352 0.203
6 La 0.648 0.648 0.797
7 Mg 0.250 0.750 0.000
8 Mg 0.750 0.250 0.000